Material: HgRh2Br
Method: DFT, GGA-PBE
State: optimized geometry

POSCAR file:
```
HgRh2Br
1.0
0.000 3.295 3.295
3.295 0.000 3.295
3.295 3.295 0.000
Rh Hg Br
2 1 1
Direct
0.750 0.750 0.750
0.250 0.250 0.250
0.500 0.500 0.500
0.000 0.000 0.000
```

Theoretical density ... 11.29 g/cm³
Density of states at the Fermi level ... 6.88 states/eV/f.u.
Total magnetization ... 1.47 μB/cell
Space group ... Fm-3m
Energy above the most stable polymorph in this dataset ... 381 meV per atom
Uncorrected energy ... -3.549 eV/atom

---

Material: HgRhBr2
Method: DFT, GGA-PBE
State: optimized geometry

POSCAR file:
```
HgRhBr2
1.0
-0.037 -3.265 -0.933
3.176 -0.363 1.144
-2.911 -2.087 7.420
Rh Hg Br
1 1 2
Direct
0.500 0.500 0.744
0.000 0.000 0.530
0.000 0.000 0.915
0.500 0.500 0.311
```

Theoretical density ... 8.10 g/cm³
Density of states at the Fermi level ... 3.40 states/eV/f.u.
Total magnetization ... 1.28 μB/cell
Space group ... P4mm
Energy above the most stable polymorph in this dataset ... 384 meV per atom
Uncorrected energy ... -2.512 eV/atom

---

Material: HgRhBr2
Method: DFT, GGA-PBE
State: optimized geometry

POSCAR file:
```
HgRhBr2
1.0
-1.610 2.220 -1.873
-2.631 -2.017 -0.129
-3.589 4.166 8.024
Br Rh Hg
2 1 1
Direct
0.000 0.000 0.582
0.000 0.000 0.918
0.500 0.500 0.750
0.500 0.500 0.250
```

Theoretical density ... 7.18 g/cm³
Density of states at the Fermi level ... 4.76 states/eV/f.u.
Total magnetization ... 2.58 μB/cell
Space group ... P4/mmm
Energy above the most stable polymorph in this dataset ... 406 meV per atom
Uncorrected energy ... -2.490 eV/atom

---

Material: Hg2RhBr
Method: DFT, GGA-PBE
State: optimized geometry

POSCAR file:
```
Hg2RhBr
1.0
-0.114 0.470 -3.390
2.958 -0.997 1.408
-2.438 -8.858 -1.148
Hg Rh Br
2 1 1
Direct
0.500 0.500 0.284
0.000 0.000 0.010
0.000 0.000 0.510
0.500 0.500 0.695
```

Theoretical density ... 10.16 g/cm³
Density of states at the Fermi level ... 2.79 states/eV/f.u.
Total magnetization ... 0.00 μB/cell
Space group ... Cmm2
Energy above the most stable polymorph in this dataset ... 169 meV per atom
Uncorrected energy ... -2.176 eV/atom

---

Material: Hg2RhBr
Method: DFT, GGA-PBE
State: optimized geometry

POSCAR file:
```
Hg2RhBr
1.0
-2.752 4.061 1.499
-0.604 -0.993 -4.996
-2.657 -2.070 0.733
Hg Rh Br
2 1 1
Direct
0.500 0.500 0.000
0.000 0.000 0.000
0.500 0.000 0.500
0.000 0.500 0.500
```

Theoretical density ... 11.53 g/cm³
Density of states at the Fermi level ... 1.60 states/eV/f.u.
Total magnetization ... 0.00 μB/cell
Space group ... Cmmm
Energy above the most stable polymorph in this dataset ... 240 meV per atom
Uncorrected energy ... -2.105 eV/atom

---

Material: Hg2RhBr
Method: DFT, GGA-PBE
State: optimized geometry

POSCAR file:
```
Hg2RhBr
1.0
4.921 0.000 0.000
2.460 4.261 0.000
2.460 1.420 4.018
Br Hg Rh
1 2 1
Direct
0.500 0.500 0.500
0.250 0.250 0.250
0.000 0.000 0.000
0.750 0.750 0.750
```

Theoretical density ... 11.51 g/cm³
Density of states at the Fermi level ... 0.57 states/eV/f.u.
Total magnetization ... 0.00 μB/cell
Space group ... F-43m
Energy above the most stable polymorph in this dataset ... 381 meV per atom
Uncorrected energy ... -1.964 eV/atom

---

Material: Hg2RhBr
Method: DFT, GGA-PBE
State: optimized geometry

POSCAR file:
```
Hg2RhBr
1.0
-0.911 2.411 5.339
-2.919 -2.845 4.305
4.377 -0.906 -3.895
Rh Hg Br
1 2 1
Direct
0.250 0.750 0.500
0.000 0.000 0.000
0.500 0.500 0.000
0.750 0.250 0.500
```

Theoretical density ... 11.41 g/cm³
Density of states at the Fermi level ... 2.53 states/eV/f.u.
Total magnetization ... 0.00 μB/cell
Space group ... I4/mmm
Energy above the most stable polymorph in this dataset ... 350 meV per atom
Uncorrected energy ... -1.995 eV/atom

---

Material: HgRhBr2
Method: DFT, GGA-PBE
State: optimized geometry

POSCAR file:
```
HgRhBr2
1.0
-3.277 0.332 2.179
0.117 -0.238 -3.940
-0.632 -10.133 0.594
Hg Br Rh
1 2 1
Direct
0.500 0.500 0.250
0.000 0.000 0.585
0.000 0.000 0.915
0.500 0.500 0.750
```

Theoretical density ... 5.96 g/cm³
Density of states at the Fermi level ... 3.03 states/eV/f.u.
Total magnetization ... 1.03 μB/cell
Space group ... Cmmm
Energy above the most stable polymorph in this dataset ... 133 meV per atom
Uncorrected energy ... -2.763 eV/atom

---

Material: HgRh2Br
Method: DFT, GGA-PBE
State: optimized geometry

POSCAR file:
```
HgRh2Br
1.0
4.584 0.000 0.000
0.000 4.584 0.000
2.292 2.292 8.196
Rh Br Hg
4 2 2
Direct
0.375 0.471 0.750
0.529 0.125 0.250
0.221 0.625 0.250
0.875 0.779 0.750
0.500 0.500 0.000
0.250 0.750 0.500
0.750 0.250 0.500
0.000 0.000 0.000
```

Theoretical density ... 9.38 g/cm³
Density of states at the Fermi level ... 7.42 states/eV/f.u.
Total magnetization ... 0.00 μB/cell
Space group ... I-42d
Energy above the most stable polymorph in this dataset ... 295 meV per atom
Uncorrected energy ... -3.635 eV/atom

---

Material: HgRh2Br
Method: DFT, GGA-PBE
State: optimized geometry

POSCAR file:
```
HgRh2Br
1.0
3.130 -0.012 0.000
0.009 3.130 0.000
0.000 0.000 7.927
Br Rh Hg
1 2 1
Direct
0.000 0.000 0.442
0.500 0.500 0.222
0.000 0.000 0.033
0.500 0.500 0.803
```

Theoretical density ... 10.40 g/cm³
Density of states at the Fermi level ... 4.27 states/eV/f.u.
Total magnetization ... 1.18 μB/cell
Space group ... P4mm
Energy above the most stable polymorph in this dataset ... 66 meV per atom
Uncorrected energy ... -3.865 eV/atom

---

Material: Hg2RhBr
Method: DFT, GGA-PBE
State: optimized geometry

POSCAR file:
```
Hg2RhBr
1.0
-4.972 -0.031 -1.901
-3.552 -2.762 -2.844
-3.162 -3.406 5.103
Hg Rh Br
2 1 1
Direct
0.043 0.043 0.927
0.807 0.807 0.657
0.543 0.543 0.606
0.107 0.107 0.309
```

Theoretical density ... 8.74 g/cm³
Density of states at the Fermi level ... 2.96 states/eV/f.u.
Total magnetization ... 0.00 μB/cell
Space group ... Cm
Energy above the most stable polymorph in this dataset ... 12 meV per atom
Uncorrected energy ... -2.333 eV/atom

---

Material: HgRhBr4
Method: DFT, GGA-PBE
State: optimized geometry

POSCAR file:
```
HgRhBr4
1.0
0.663 -6.181 -0.646
-3.687 -3.143 -3.949
2.368 -2.353 -5.284
Br Rh Hg
4 1 1
Direct
0.876 0.375 0.375
0.375 0.375 0.375
0.375 0.375 0.876
0.375 0.876 0.375
0.000 0.000 0.000
0.750 0.750 0.750
```

Theoretical density ... 5.99 g/cm³
Density of states at the Fermi level ... 8.64 states/eV/f.u.
Total magnetization ... 1.63 μB/cell
Space group ... F-43m
Uncorrected energy ... -1.459 eV/atom

---

Material: HgRhBr2
Method: DFT, GGA-PBE
State: optimized geometry

POSCAR file:
```
HgRhBr2
1.0
-1.951 -6.656 1.854
-2.268 -5.780 -3.606
4.730 5.370 0.587
Rh Br Hg
1 2 1
Direct
0.750 0.250 0.500
0.000 0.000 0.000
0.250 0.750 0.500
0.500 0.500 0.000
```

Theoretical density ... 7.57 g/cm³
Density of states at the Fermi level ... 6.14 states/eV/f.u.
Total magnetization ... 1.23 μB/cell
Space group ... I-4m2
Energy above the most stable polymorph in this dataset ... 555 meV per atom
Uncorrected energy ... -2.340 eV/atom

---

Material: Hg2RhBr
Method: DFT, GGA-PBE
State: optimized geometry

POSCAR file:
```
Hg2RhBr
1.0
-1.342 -3.177 6.392
-3.822 -3.926 4.769
1.427 -4.197 -0.243
Hg Rh Br
2 1 1
Direct
0.066 0.066 0.934
0.434 0.434 0.566
0.750 0.750 0.750
0.250 0.250 0.250
```

Theoretical density ... 10.60 g/cm³
Density of states at the Fermi level ... 2.34 states/eV/f.u.
Total magnetization ... 0.00 μB/cell
Space group ... Immm
Energy above the most stable polymorph in this dataset ... 127 meV per atom
Uncorrected energy ... -2.218 eV/atom

---

Material: HgRh2Br
Method: DFT, GGA-PBE
State: optimized geometry

POSCAR file:
```
HgRh2Br
1.0
-3.320 -1.172 5.422
2.065 -2.027 5.781
-0.057 4.162 -4.946
Rh Hg Br
2 1 1
Direct
0.734 0.234 0.500
0.921 0.921 0.000
0.289 0.789 0.500
0.556 0.556 0.000
```

Theoretical density ... 9.97 g/cm³
Density of states at the Fermi level ... 6.30 states/eV/f.u.
Total magnetization ... 0.07 μB/cell
Space group ... Imm2
Energy above the most stable polymorph in this dataset ... 163 meV per atom
Uncorrected energy ... -3.768 eV/atom